[1]
Density functional theory data (PBE) for crystalline KBaSc2 at its relaxed geometry.

The energy above the most stable polymorph in this dataset is 0.2611 eV per atom. Its formation energy is 0.602 eV per atom. Its magnetic moment is 1.50 μB per formula unit.

The structure belongs to space group Cmmm (No. 65); the cell edges are 3.8588, 5.9259 and 13.0038 Å and the angles 90.00°, 90.00° and 90.00°. The inequivalent atoms are K at (0.0000, 0.0000, 0.0000), Ba at (0.0000, 0.0000, 0.5000) and Sc at (0.0000, 0.5000, 0.2620).

[2]
Density functional theory data (PBE) for crystalline Nd2CoTc at its relaxed geometry.

Its formation energy is 0.873 eV per atom. Its magnetic moment is 1.81 μB per formula unit.

The structure belongs to space group R-3m (No. 166, hexagonal axes); the cell edges are 3.3127, 3.3127 and 28.7142 Å and the angles 90.00°, 90.00° and 120.00°. The inequivalent atoms are Nd at (0.0000, 0.0000, 0.0948), Co at (0.0000, 0.0000, 0.5000) and Tc at (0.0000, 0.0000, 0.0000).

[3]
Density functional theory data (PBE) for crystalline Hf3CdC at its relaxed geometry.

The energy above the most stable polymorph in this dataset is 0.3885 eV per atom. Its formation energy is -0.046 eV per atom. Its magnetic moment is 0.00 μB per formula unit.

The structure belongs to space group Fd-3m (No. 227, origin choice 2); the cell edges are 11.9878, 11.9878 and 11.9878 Å and the angles 90.00°, 90.00° and 90.00°. The inequivalent atoms are Hf at (0.0623, 0.3750, 0.3750), Cd at (0.0000, 0.0000, 0.5000) and C at (0.0000, 0.0000, 0.0000).

[4]
Density functional theory data (PBE) for crystalline AcYZnCo at its relaxed geometry.

Its formation energy is -0.048 eV per atom. Its magnetic moment is 0.00 μB per formula unit.

The structure belongs to space group F-43m (No. 216); the cell edges are 7.2526, 7.2526 and 7.2526 Å and the angles 90.00°, 90.00° and 90.00°. The inequivalent atoms are Ac at (0.0000, 0.0000, 0.0000), Y at (0.0000, 0.0000, 0.5000), Zn at (0.2500, 0.2500, 0.2500) and Co at (0.2500, 0.2500, 0.7500).

[5]
Density functional theory data (PBE) for crystalline InMoW2 at its relaxed geometry.

Its formation energy is 0.403 eV per atom. Its magnetic moment is 0.00 μB per formula unit.

The structure belongs to space group P2/m (No. 10); the cell edges are 2.7861, 4.5546 and 5.5206 Å and the angles 90.00°, 102.84° and 90.00°. The inequivalent atoms are In at (0.0000, 0.0000, 0.0000), Mo at (0.5000, 0.0000, 0.5000) and W at (0.2716, 0.5000, 0.7400).

[6]
Density functional theory data (PBE) for crystalline NaAlCdF6 at its relaxed geometry.

The energy above the most stable polymorph in this dataset is 0.0000 eV per atom. Its magnetic moment is 0.08 μB per formula unit. The value obtained for the energy relative to the elements, uncorrected is -26.66 eV per formula unit.

The structure belongs to space group Pnma (No. 62); the cell edges are 12.6417, 3.6976 and 10.1473 Å and the angles 90.00°, 90.00° and 90.00°. The inequivalent atoms are Na at (0.0862, 0.2500, 0.1780), Al at (0.1640, 0.2500, 0.8211), Cd at (0.1209, 0.7500, 0.5021), F at (0.0254, 0.2500, 0.8536), F at (0.0433, 0.2500, 0.4035), F at (0.1445, 0.2500, 0.6412), F at (0.1656, 0.7500, 0.8148), F at (0.1926, 0.7500, 0.2891) and F at (0.1973, 0.2500, 0.9962).

[7]
Density functional theory data (PBE) for crystalline K6ZnCl8 at its relaxed geometry.

Its magnetic moment is 0.00 μB per formula unit. The value obtained for the energy relative to the elements, uncorrected is -26.11 eV per formula unit.

The structure belongs to space group R-3 (No. 148, hexagonal axes); the cell edges are 9.2447, 9.2447 and 18.1015 Å and the angles 90.00°, 90.00° and 120.00°. The inequivalent atoms are K at (0.0232, 0.6229, 0.4198), Zn at (0.0000, 0.0000, 0.5000), Cl at (0.0000, 0.0000, 0.1551) and Cl at (0.0122, 0.7815, 0.5811).

[8]
Density functional theory data (PBE) for crystalline Ho3TlFe at its relaxed geometry.

The energy above the most stable polymorph in this dataset is 0.0000 eV per atom. Its formation energy is -0.173 eV per atom. Its magnetic moment is 0.90 μB per formula unit.

The structure belongs to space group P2_1/m (No. 11); the cell edges are 8.5467, 3.8034 and 8.6727 Å and the angles 90.00°, 114.92° and 90.00°. The inequivalent atoms are Ho at (0.0351, 0.2500, 0.2215), Ho at (0.3258, 0.7500, 0.5698), Ho at (0.3293, 0.2500, 0.8966), Tl at (0.3334, 0.7500, 0.1999) and Fe at (0.0560, 0.2500, 0.5689).

Please write out number 1 again, unchanged.
Density functional theory data (PBE) for crystalline KBaSc2 at its relaxed geometry.

The energy above the most stable polymorph in this dataset is 0.2611 eV per atom. Its formation energy is 0.602 eV per atom. Its magnetic moment is 1.50 μB per formula unit.

The structure belongs to space group Cmmm (No. 65); the cell edges are 3.8588, 5.9259 and 13.0038 Å and the angles 90.00°, 90.00° and 90.00°. The inequivalent atoms are K at (0.0000, 0.0000, 0.0000), Ba at (0.0000, 0.0000, 0.5000) and Sc at (0.0000, 0.5000, 0.2620).